Compound: MgZr2NbTl
Source: Alexandria via LeMat-Bulk
Functional: PBE-GGA
Structure: optimized geometry

Cell: 5.354 5.354 5.202 Å, 90.00 90.00 90.00°
Positions (direct):
Mg 0.000 0.000 0.000
Zr 0.000 0.500 0.500
Zr 0.500 0.000 0.500
Nb 0.500 0.500 0.000
Tl 0.500 0.500 0.500

symmetry	P4/mmm
formation energy	1.3110	eV/atom
D(E_F)	5.85	states/eV per cell